TaNb2Ru3 | GGA-PBE | relaxed

Results
ΔH_f (0 K)	-0.26	eV per atom
mass density	11.5	g/cm3
energy above the most stable polymorph in this dataset	0	meV/atom
total DFT energy (no corrections)	-10.228	eV per atom
SG	P4/mmm

Lattice parameters (Å, degrees): 3.063 3.063 10.302 90.00 90.00 90.00
Fractional coordinates of all 6 atoms:
Ta 0.000 0.000 0.000
Nb 0.000 0.000 0.333
Nb 0.000 0.000 0.667
Ru 0.500 0.500 0.155
Ru 0.500 0.500 0.500
Ru 0.500 0.500 0.845

---

LaAg2Hg | GGA-PBE | relaxed

Results
ΔH_f (0 K)	-0.18	eV per atom
mass density	9.0	g/cm3
total DFT energy (no corrections)	-2.912	eV per atom
SG	Pmmm

Lattice parameters (Å, degrees): 3.626 4.978 5.669 90.00 90.00 90.00
Fractional coordinates of all 4 atoms:
La 0.000 0.000 0.000
Ag 0.500 0.500 0.247
Ag 0.500 0.500 0.753
Hg 0.500 0.000 0.500